## Cu2BiI (GGA-PBE)

Data for a relaxed Cu2BiI crystal.

Output
Total magnetization ... 0.000 Bohr magnetons per cell
E_form (uncorrected) ... 256.6 kJ/mol of formula units
Space group ... Fm-3m
Excess energy over the best structure of this formula in the dataset ... 426 meV/atom

Lattice parameters (Å, degrees): 4.9853 4.9853 4.9853 60.00 60.00 60.00
With the nearest neighbours (Å) after each atom.
Fractional positions:
Cu: 0.2500 0.2500 0.2500  4 Bi 3.05, 4 I 3.05
Cu: 0.7500 0.7500 0.7500  4 Bi 3.05, 4 I 3.05
Bi: 0.0000 0.0000 0.0000  8 Cu 3.05
I: 0.5000 0.5000 0.5000  8 Cu 3.05